(1)
4
Lattice="0.000 3.051 3.051 3.051 0.000 3.051 3.051 3.051 0.000" Properties=species:S:1:pos:R:3 comment="PBE LiAlTcMo, relaxed" rho_g_cm3=6.66 m_tot_mub_per_fu=0.000 formation_enthalpy_0k_ev_per_atom=-0.16 e_tot_ev_per_atom=-6.876 pbc="T T T"
Li 0.000 0.000 0.000
Al 1.525 1.525 1.525
Tc 3.051 3.051 3.051
Mo 4.576 4.576 4.576

=====

(2)
5
Lattice="-2.724 2.724 7.065 2.724 -2.724 7.065 2.724 2.724 -7.065" Properties=species:S:1:pos:R:3 comment="PBE RbLa2Pb2, relaxed" rho_g_cm3=6.16 m_tot_mub_per_fu=0.000 formation_enthalpy_0k_ev_per_atom=-0.15 e_tot_ev_per_atom=-3.797 polymorph_energy_mev_per_atom=249 pbc="T T T"
Rb 0.000 0.000 0.000
La 2.724 0.000 3.533
La 0.000 2.724 3.533
Pb 0.000 0.000 5.470
Pb 0.000 0.000 8.660

=====

(3)
21
Lattice="9.542 0.000 0.000 -4.771 8.264 0.000 0.000 0.000 3.838" Properties=species:S:1:pos:R:3 comment="PBE Nd2Mn3Cu9P7, relaxed" rho_g_cm3=6.82 m_tot_mub_per_fu=11.055 formation_enthalpy_0k_ev_per_atom=-0.42 e_tot_ev_per_atom=-5.743 pbc="T T T"
Nd 0.000 0.000 0.000
Nd 0.000 5.509 1.919
Mn 3.139 2.041 0.000
Mn 6.206 1.698 0.000
Mn 4.969 4.526 0.000
Cu -3.194 6.285 1.919
Cu -0.915 3.100 0.000
Cu 0.925 2.355 1.919
Cu -1.629 7.507 0.000
Cu 4.563 0.458 1.919
Cu 2.886 4.084 1.919
Cu 2.544 5.921 0.000
Cu 2.269 7.887 1.919
Cu 6.865 3.722 1.919
P -2.255 5.179 0.000
P 2.229 0.381 1.919
P 1.413 3.722 0.000
P 0.841 7.627 0.000
P 4.771 2.755 1.919
P 3.986 6.143 1.919
P 8.098 1.740 1.919

=====

(4)
8
Lattice="7.814 0.000 0.000 0.000 4.549 0.000 -2.657 0.000 7.436" Properties=species:S:1:pos:R:3 comment="PBE Ca2NdThSb4, relaxed" rho_g_cm3=5.93 m_tot_mub_per_fu=0.000 formation_energy_uncorrected_ev_per_fu=-7.74 e_tot_ev_per_atom=-5.053 pbc="T T T"
Ca 0.000 0.000 0.000
Ca -1.328 2.274 3.718
Nd 2.579 0.000 3.718
Th 3.907 2.274 0.000
Sb 1.320 2.274 1.858
Sb -0.011 0.000 5.599
Sb 5.169 0.000 1.837
Sb 3.837 2.274 5.578

=====

(5)
15
Lattice="4.202 2.426 8.181 -4.202 2.426 8.181 0.000 -4.852 8.181" Properties=species:S:1:pos:R:3 comment="PBE Rb3Sm3HfSe8, relaxed" rho_g_cm3=5.04 m_tot_mub_per_fu=0.000 formation_energy_uncorrected_ev_per_fu=-24.89 e_tot_ev_per_atom=-5.318 pbc="T T T"
Rb -2.101 -1.213 8.181
Rb -2.101 1.213 16.362
Rb 0.000 2.426 8.181
Sm -4.202 0.000 12.271
Sm -2.101 1.213 4.090
Sm 2.101 1.213 4.090
Hf 0.000 0.000 12.271
Se 0.000 0.000 5.722
Se -1.956 -1.129 13.813
Se 0.000 -2.259 10.730
Se -1.956 1.129 10.730
Se 1.956 -1.129 13.813
Se 0.000 2.259 13.813
Se 1.956 1.129 10.730
Se 0.000 0.000 18.820

=====

(6)
18
Lattice="8.261 -3.365 0.000 8.261 3.365 0.000 -3.854 0.000 10.780" Properties=species:S:1:pos:R:3 comment="PBE Nd3Dy5Er, relaxed" rho_g_cm3=7.83 m_tot_mub_per_fu=0.000 formation_enthalpy_0k_ev_per_atom=0.16 e_tot_ev_per_atom=-4.494 polymorph_energy_mev_per_atom=0 pbc="T T T"
Nd 0.000 0.000 0.000
Nd -1.927 0.000 5.390
Nd 1.856 0.835 6.949
Nd 3.783 -0.835 1.559
Nd 8.884 0.835 9.222
Nd 10.811 -0.835 3.832
Dy -0.458 0.805 9.395
Dy 1.469 -0.805 4.004
Dy 7.297 1.212 2.695
Dy 4.739 0.023 4.905
Dy 2.812 -0.023 10.296
Dy 9.856 0.023 0.485
Dy 7.928 -0.023 5.875
Dy 5.370 -1.212 8.085
Dy 11.198 0.805 6.776
Dy 13.125 -0.805 1.386
Er 5.370 1.840 8.085
Er 7.297 -1.840 2.695

=====

(7)
4
Lattice="0.000 3.959 3.959 3.959 0.000 3.959 3.959 3.959 0.000" Properties=species:S:1:pos:R:3 comment="PBE BaNaTlGe, relaxed" rho_g_cm3=5.85 m_tot_mub_per_fu=0.000 formation_enthalpy_0k_ev_per_atom=-0.23 e_tot_ev_per_atom=-2.786 pbc="T T T"
Ba 0.000 0.000 0.000
Na 3.959 3.959 3.959
Tl 5.938 5.938 5.938
Ge 1.979 1.979 1.979

=====

(8)
10
Lattice="7.164 0.000 0.000 0.000 3.682 0.000 -1.823 0.000 8.172" Properties=species:S:1:pos:R:3 comment="PBE Ce3RuC, relaxed" rho_g_cm3=8.22 m_tot_mub_per_fu=0.001 formation_enthalpy_0k_ev_per_atom=-0.20 e_tot_ev_per_atom=-7.456 polymorph_energy_mev_per_atom=0 pbc="T T T"
Ce -0.034 0.920 2.833
Ce 0.088 0.920 7.756
Ce 1.690 2.761 5.184
Ce 3.651 0.920 2.988
Ce 5.254 2.761 0.416
Ce 5.375 2.761 5.338
Ru 1.968 2.761 1.435
Ru 3.374 0.920 6.737
C -0.071 0.920 5.297
C 5.412 2.761 2.874

=====

(9)
10
Lattice="-2.838 2.838 5.210 2.838 -2.838 5.210 2.838 2.838 -5.210" Properties=species:S:1:pos:R:3 comment="PBE Ce2BeBPt6, relaxed" rho_g_cm3=14.54 m_tot_mub_per_fu=0.963 formation_enthalpy_0k_ev_per_atom=-0.93 e_tot_ev_per_atom=-6.777 pbc="T T T"
Ce 2.838 0.000 0.000
Ce 0.000 2.838 0.000
Be 0.000 0.000 3.789
B 0.000 0.000 9.013
Pt 1.400 1.400 -2.457
Pt 1.438 -1.438 2.753
Pt 0.000 0.000 0.734
Pt -1.438 1.438 2.753
Pt 1.438 1.438 2.753
Pt 0.000 0.000 5.972

=====

(10)
5
Lattice="4.672 0.000 0.000 0.000 4.672 0.000 0.000 0.000 5.598" Properties=species:S:1:pos:R:3 comment="PBE CdRuSe2Cl, relaxed" rho_g_cm3=5.53 m_tot_mub_per_fu=0.000 formation_energy_uncorrected_ev_per_fu=0.17 e_tot_ev_per_atom=-3.768 pbc="T T T"
Cd 0.000 0.000 0.000
Ru 0.000 0.000 2.799
Se 0.000 2.336 2.799
Se 2.336 0.000 2.799
Cl 2.336 2.336 0.000

=====

(11)
4
Lattice="4.665 0.000 0.000 -2.333 4.040 0.000 0.000 0.000 9.282" Properties=species:S:1:pos:R:3 comment="PBE Ba2MgAu, relaxed" rho_g_cm3=4.71 m_tot_mub_per_fu=0.001 formation_enthalpy_0k_ev_per_atom=-0.35 e_tot_ev_per_atom=-2.528 pbc="T T T"
Ba 0.000 0.000 0.000
Ba 0.000 2.694 3.928
Mg 2.333 1.347 6.596
Au 0.000 2.694 7.255

=====

(12)
12
Lattice="9.050 -2.078 0.000 9.050 2.078 0.000 -1.904 0.000 8.083" Properties=species:S:1:pos:R:3 comment="PBE Pm2Dy3ErAs6, relaxed" rho_g_cm3=7.62 m_tot_mub_per_fu=0.000 formation_enthalpy_0k_ev_per_atom=-1.52 e_tot_ev_per_atom=-6.172 pbc="T T T"
Pm 2.369 0.000 2.684
Pm 13.827 0.000 5.399
Dy 1.438 0.000 6.741
Dy 8.098 0.000 4.042
Dy 14.759 0.000 1.343
Er 9.050 0.000 0.000
As -1.396 0.000 6.086
As 4.294 0.000 7.457
As 5.277 0.000 3.335
As 10.919 0.000 4.748
As 11.902 0.000 0.627
As 17.592 0.000 1.997

=====

(13)
4
Lattice="2.229 1.287 13.196 -2.229 1.287 13.196 0.000 -2.574 13.196" Properties=species:S:1:pos:R:3 comment="PBE Rb2NaHg, relaxed" rho_g_cm3=2.88 m_tot_mub_per_fu=0.000 formation_enthalpy_0k_ev_per_atom=0.02 e_tot_ev_per_atom=-0.865 pbc="T T T"
Rb 0.000 0.000 3.956
Rb 0.000 0.000 35.631
Na 0.000 0.000 0.000
Hg 0.000 0.000 19.793

=====

(14)
5
Lattice="3.616 0.000 0.000 0.000 3.616 0.000 0.000 0.000 4.386" Properties=species:S:1:pos:R:3 comment="PBE FeCIN2, relaxed" rho_g_cm3=6.45 m_tot_mub_per_fu=0.001 formation_energy_uncorrected_ev_per_fu=13.63 e_tot_ev_per_atom=-4.452 polymorph_energy_mev_per_atom=917 pbc="T T T"
Fe 0.000 0.000 0.000
C 1.808 1.808 2.193
I 1.808 1.808 0.000
N 0.000 1.808 2.193
N 1.808 0.000 2.193

=====

(15)
5
Lattice="4.625 0.000 0.000 0.000 4.625 0.000 0.000 0.000 4.625" Properties=species:S:1:pos:R:3 comment="PBE GaSnMo3, relaxed" rho_g_cm3=8.00 m_tot_mub_per_fu=0.000 formation_enthalpy_0k_ev_per_atom=1.27 e_tot_ev_per_atom=-6.636 polymorph_energy_mev_per_atom=0 pbc="T T T"
Ga 0.000 0.000 0.000
Sn 2.312 2.312 2.312
Mo 0.000 0.000 2.312
Mo 0.000 2.312 0.000
Mo 2.312 0.000 0.000

=====

(16)
20
Lattice="10.988 0.000 0.000 0.000 6.549 0.000 -0.938 0.000 9.524" Properties=species:S:1:pos:R:3 comment="PBE Bi3IrI, relaxed" rho_g_cm3=9.17 m_tot_mub_per_fu=0.000 formation_energy_uncorrected_ev_per_fu=-0.32 e_tot_ev_per_atom=-4.475 polymorph_energy_mev_per_atom=0 pbc="T T T"
Bi 0.227 0.367 1.723
Bi -0.242 2.907 6.485
Bi 2.123 3.826 0.864
Bi 1.655 5.997 5.626
Bi 1.960 0.576 8.692
Bi 2.429 2.698 3.930
Bi 7.622 3.850 5.594
Bi 8.091 5.973 0.832
Bi 8.396 0.552 3.897
Bi 7.927 2.722 8.659
Bi 10.292 3.642 3.039
Bi 9.824 6.181 7.801
Ir 0.075 1.259 4.317
Ir -0.394 2.016 9.078
Ir 10.445 4.533 0.445
Ir 9.976 5.290 5.207
I 4.042 0.445 2.697
I 3.573 2.829 7.459
I 6.477 3.719 2.064
I 6.009 6.104 6.826

=====

(17)
5
Lattice="4.360 0.000 0.000 0.000 4.360 0.000 0.000 0.000 3.770" Properties=species:S:1:pos:R:3 comment="PBE NbTcOF2, relaxed" rho_g_cm3=5.68 m_tot_mub_per_fu=3.144 formation_energy_uncorrected_ev_per_fu=-2.27 e_tot_ev_per_atom=-6.281 polymorph_energy_mev_per_atom=474 pbc="T T T"
Nb 0.000 0.000 0.000
Tc 2.180 2.180 1.885
O 2.180 2.180 0.000
F 0.000 2.180 1.885
F 2.180 0.000 1.885

=====

(18)
5
Lattice="5.608 0.000 0.000 0.000 5.608 0.000 0.000 0.000 5.191" Properties=species:S:1:pos:R:3 comment="PBE CsCuI2Cl, relaxed" rho_g_cm3=4.94 m_tot_mub_per_fu=0.000 formation_energy_uncorrected_ev_per_fu=-3.75 e_tot_ev_per_atom=-2.729 pbc="T T T"
Cs 0.000 0.000 0.000
Cu 2.804 2.804 2.595
I 0.000 2.804 2.595
I 2.804 0.000 2.595
Cl 2.804 2.804 0.000

=====

(19)
5
Lattice="4.361 0.000 0.000 0.000 4.361 0.000 0.000 0.000 5.274" Properties=species:S:1:pos:R:3 comment="PBE Zr2CuPbF, relaxed" rho_g_cm3=7.82 m_tot_mub_per_fu=0.000 formation_energy_uncorrected_ev_per_fu=-1.52 e_tot_ev_per_atom=-5.658 pbc="T T T"
Zr 0.000 2.181 0.000
Zr 2.181 0.000 0.000
Cu 0.000 0.000 2.637
Pb 2.181 2.181 2.637
F 2.181 2.181 0.000

=====

(20)
5
Lattice="4.261 0.000 0.000 0.000 4.261 0.000 0.000 0.000 4.508" Properties=species:S:1:pos:R:3 comment="PBE TcAs2CBr, relaxed" rho_g_cm3=6.89 m_tot_mub_per_fu=1.574 formation_energy_uncorrected_ev_per_fu=7.36 e_tot_ev_per_atom=-4.640 polymorph_energy_mev_per_atom=0 pbc="T T T"
Tc 0.000 0.000 0.000
As 0.000 2.131 2.254
As 2.131 0.000 2.254
C 2.131 2.131 2.254
Br 2.131 2.131 0.000